No. 1
CeMn2AlH6: relaxed, PBE.

The structure in POSCAR format:
```
CeMn2AlH6
1.0
-3.596 -1.198 1.958
-2.600 -2.827 -1.857
0.505 -5.239 2.369
Ce H Mn Al
1 6 2 1
direct
0.000 0.000 0.000
0.573 0.573 0.801
0.427 0.947 0.199
0.947 0.427 0.199
0.427 0.427 0.199
0.573 0.053 0.801
0.053 0.573 0.801
0.197 0.197 0.410
0.803 0.803 0.590
0.500 0.500 0.500
```

Properties
Space-group type   R-3m
Raw total energy   -5.047 eV/atom

***

No. 2
CeMn2AlH8: relaxed, PBE.

The structure in POSCAR format:
```
CeMn2AlH8
1.0
4.324 0.000 0.000
-2.162 3.745 0.000
0.000 0.000 5.849
H Al Ce Mn
8 1 1 2
direct
0.333 0.667 0.893
0.387 0.055 0.672
0.055 0.668 0.328
0.945 0.332 0.672
0.332 0.387 0.328
0.668 0.613 0.672
0.667 0.333 0.107
0.613 0.945 0.328
0.000 0.000 0.500
0.000 0.000 0.000
0.333 0.667 0.612
0.667 0.333 0.388
```

Properties
Space-group type   P-3
Raw total energy   -4.619 eV/atom

***

No. 3
CeAlNi2H: relaxed, PBE.

The structure in POSCAR format:
```
CeAlNi2H
1.0
-3.259 -1.471 1.736
0.128 -1.388 -5.486
3.278 -5.523 1.474
Al H Ce Ni
2 2 2 4
direct
0.706 0.412 0.750
0.294 0.588 0.250
0.000 0.000 0.500
0.000 0.000 0.000
0.578 0.157 0.250
0.422 0.843 0.750
0.840 0.679 0.448
0.160 0.321 0.948
0.840 0.679 0.052
0.160 0.321 0.552
```

Properties
Space-group type   Cmcm
Raw total energy   -5.408 eV/atom

***

No. 4
CeAlPH: relaxed, PBE.

The structure in POSCAR format:
```
CeAlPH
1.0
4.157 0.000 0.000
-2.079 3.624 0.006
0.000 -0.006 4.096
Ce Al P H
1 1 1 1
direct
0.906 0.811 0.812
0.239 0.478 0.311
0.571 0.143 0.310
0.238 0.477 0.806
```

Properties
Space-group type   Cm
Raw total energy   -5.235 eV/atom

***

No. 5
Ce2AlHPt6: relaxed, PBE.

The structure in POSCAR format:
```
Ce2AlHPt6
1.0
5.698 0.017 0.029
-0.025 6.926 0.879
2.812 4.080 4.918
Pt H Al Ce
6 1 1 2
direct
0.230 0.268 0.038
0.268 0.732 0.962
0.268 0.230 0.463
0.732 0.268 0.038
0.770 0.732 0.962
0.732 0.770 0.537
0.500 0.500 0.000
0.000 0.000 0.000
0.722 0.278 0.556
0.278 0.722 0.444
```

Properties
Space-group type   R-3m
Raw total energy   -6.384 eV/atom

***

No. 6
CeAlHRh2: relaxed, PBE.

The structure in POSCAR format:
```
CeAlHRh2
1.0
-0.533 0.961 3.873
-2.080 -5.570 -0.996
6.073 -2.529 1.463
Al H Rh Ce
2 2 4 2
direct
0.696 0.393 0.750
0.304 0.607 0.250
0.000 0.000 0.500
0.000 0.000 0.000
0.155 0.311 0.535
0.845 0.689 0.035
0.845 0.689 0.465
0.155 0.311 0.965
0.583 0.167 0.250
0.417 0.833 0.750
```

Properties
Space-group type   Cmcm
Raw total energy   -6.269 eV/atom

***

No. 7
CeAlH8Rh2: relaxed, PBE.

The structure in POSCAR format:
```
CeAlH8Rh2
1.0
4.520 0.000 0.000
2.260 3.915 0.000
2.260 1.305 5.572
H Rh Ce Al
8 2 1 1
direct
0.816 0.816 0.552
0.051 0.052 0.276
0.949 0.948 0.724
0.378 0.949 0.724
0.184 0.184 0.448
0.052 0.622 0.276
0.948 0.378 0.724
0.622 0.051 0.276
0.286 0.286 0.143
0.714 0.714 0.857
0.500 0.500 0.500
0.000 0.000 0.000
```

Properties
Space-group type   R-3m
Raw total energy   -4.486 eV/atom

***

No. 8
CeAlH8Ru2: relaxed, PBE.

The structure in POSCAR format:
```
CeAlH8Ru2
1.0
4.550 0.000 0.000
2.275 3.940 0.000
2.275 1.313 5.536
Ru H Ce Al
2 8 1 1
direct
0.284 0.284 0.149
0.716 0.716 0.851
0.813 0.813 0.560
0.051 0.623 0.274
0.949 0.377 0.726
0.623 0.052 0.274
0.187 0.187 0.440
0.948 0.949 0.726
0.377 0.948 0.726
0.052 0.051 0.274
0.500 0.500 0.500
0.000 0.000 0.000
```

Properties
Space-group type   R-3m
Raw total energy   -4.812 eV/atom

***

No. 9
CeAl2SiH2: relaxed, PBE.

The structure in POSCAR format:
```
CeAl2SiH2
1.0
5.730 0.000 0.000
0.000 5.890 -0.540
0.000 -2.653 5.403
Si H Ce Al
2 4 2 4
direct
0.250 0.147 0.844
0.750 0.853 0.156
0.750 0.817 0.620
0.250 0.549 0.454
0.250 0.183 0.380
0.750 0.451 0.546
0.250 0.755 0.238
0.750 0.245 0.762
0.993 0.268 0.255
0.007 0.732 0.745
0.493 0.732 0.745
0.507 0.268 0.255
```

Properties
Space-group type   P2_1/m
Raw total energy   -4.453 eV/atom

***

No. 10
CeHfAl2: relaxed, PBE.

The structure in POSCAR format:
```
CeHfAl2
1.0
3.083 0.000 0.000
0.000 3.083 0.000
0.000 0.000 8.640
Al Ce Hf
2 1 1
direct
0.000 0.000 0.229
0.000 0.000 0.771
0.500 0.500 0.500
0.500 0.500 0.000
```

Properties
Space-group type   P4/mmm
Energy relative to the elements   -33.6 kJ/mol of atoms
E above lowest polymorph   0 meV per atom

***

No. 11
CeHf2Al: relaxed, PBE.

The structure in POSCAR format:
```
CeHf2Al
1.0
-2.164 3.071 -2.010
0.518 -2.208 -3.931
-3.875 -2.241 0.748
Hf Ce Al
2 1 1
direct
0.000 0.500 0.000
0.000 0.000 0.500
0.500 0.500 0.500
0.500 0.000 0.000
```

Properties
Space-group type   P4/mmm
Energy relative to the elements   -9.9 kJ/mol of atoms
E above lowest polymorph   0 meV per atom

***

No. 12
CeHfAl: relaxed, PBE.

The structure in POSCAR format:
```
CeHfAl
1.0
2.990 0.000 0.000
0.000 4.994 0.000
0.000 -2.497 4.325
Hf Al Ce
1 1 1
direct
0.168 0.333 0.667
0.666 0.667 0.333
0.166 0.000 0.000
```

Properties
Space-group type   P-6m2
Energy relative to the elements   6.1 kJ/mol of atoms
E above lowest polymorph   223 meV per atom

***

No. 13
CeHfAl2: relaxed, PBE.

The structure in POSCAR format:
```
CeHfAl2
1.0
-2.815 3.878 -1.239
-3.176 -0.354 -3.779
-4.872 -0.103 0.863
Hf Al Ce
1 2 1
direct
0.500 0.500 0.500
0.250 0.250 0.250
0.750 0.750 0.750
0.000 0.000 0.000
```

Properties
Space-group type   Fm-3m
Energy relative to the elements   -19.9 kJ/mol of atoms
E above lowest polymorph   142 meV per atom

***

No. 14
CeHfAl: relaxed, PBE.

The structure in POSCAR format:
```
CeHfAl
1.0
5.212 0.000 0.000
0.000 5.212 0.000
0.000 0.000 5.922
Hf Al Ce
2 2 2
direct
0.000 0.500 0.856
0.500 0.000 0.144
0.500 0.500 0.000
0.000 0.000 0.000
0.000 0.500 0.337
0.500 0.000 0.663
```

Properties
Space-group type   P4/nmm
Energy relative to the elements   29.4 kJ/mol of atoms
E above lowest polymorph   464 meV per atom

***

No. 15
CeHfAl2: relaxed, PBE.

The structure in POSCAR format:
```
CeHfAl2
1.0
-0.144 -2.726 -3.386
0.588 -3.427 2.735
-4.382 -0.367 0.483
Hf Ce Al
1 1 2
direct
0.500 0.000 0.000
0.500 0.500 0.500
0.000 0.000 0.500
0.000 0.500 0.000
```

Properties
Space-group type   P4/mmm
Energy relative to the elements   -19.2 kJ/mol of atoms
E above lowest polymorph   149 meV per atom

***

No. 16
Ce2HfAl6: relaxed, PBE.

The structure in POSCAR format:
```
Ce2HfAl6
1.0
3.347 0.000 0.001
0.000 6.880 3.956
-0.001 0.014 7.936
Al Ce Hf
6 2 1
direct
0.500 0.674 0.326
0.500 0.674 0.000
0.500 0.326 0.000
0.500 0.000 0.674
0.500 0.000 0.326
0.500 0.326 0.674
0.000 0.667 0.667
0.000 0.333 0.333
0.000 0.000 0.000
```

Properties
Space-group type   P6/mmm
Energy relative to the elements   -35.6 kJ/mol of atoms

***

No. 17
CeHfAl: relaxed, PBE.

The structure in POSCAR format:
```
CeHfAl
1.0
3.094 0.000 0.000
0.000 3.094 0.000
-1.547 -1.547 6.977
Al Ce Hf
1 1 1
direct
0.324 0.324 0.649
0.992 0.992 0.985
0.683 0.683 0.366
```

Properties
Space-group type   I4mm
Energy relative to the elements   -15.4 kJ/mol of atoms
E above lowest polymorph   0 meV per atom

***

No. 18
CeHfAl4: relaxed, PBE.

The structure in POSCAR format:
```
CeHfAl4
1.0
5.470 0.000 0.000
2.735 4.737 0.000
2.735 1.579 4.466
Al Hf Ce
4 1 1
direct
0.124 0.625 0.625
0.625 0.124 0.625
0.625 0.625 0.124
0.625 0.625 0.625
0.000 0.000 0.000
0.250 0.250 0.250
```

Properties
Space-group type   F-43m
Energy relative to the elements   -34.4 kJ/mol of atoms

***

No. 19
Ce2HfAl3: relaxed, PBE.

The structure in POSCAR format:
```
Ce2HfAl3
1.0
-3.795 -0.086 -4.242
5.535 -0.713 -1.119
-0.984 -9.319 1.068
Hf Al Ce
2 6 4
direct
0.000 0.000 0.500
0.000 0.000 0.000
0.829 0.658 0.750
0.658 0.829 0.250
0.171 0.342 0.250
0.342 0.171 0.750
0.829 0.171 0.750
0.171 0.829 0.250
0.667 0.333 0.051
0.667 0.333 0.449
0.333 0.667 0.551
0.333 0.667 0.949
```

Properties
Space-group type   P6_3/mmc
Energy relative to the elements   -33.9 kJ/mol of atoms

***

No. 20
Ce2HfAl3: relaxed, PBE.

The structure in POSCAR format:
```
Ce2HfAl3
1.0
5.032 -0.148 -2.639
-3.199 4.691 -0.247
-0.181 0.179 5.769
Ce Al Hf
2 3 1
direct
0.260 0.630 0.890
0.740 0.370 0.110
0.500 0.000 0.500
0.500 0.500 0.500
0.000 0.000 0.500
0.000 0.000 0.000
```

Properties
Space-group type   R-3m
Energy relative to the elements   -34.0 kJ/mol of atoms

***

Number 1: density 5.71 g/cm³, magnetic moment 0.15 μB/cell. Number 2: density 5.00 g/cm³, magnetic moment 1.75 μB/cell. Number 3: density 6.83 g/cm³, magnetic moment 0.67 μB/cell. Number 4: density 5.36 g/cm³, magnetic moment 0.55 μB/cell. Number 5: density 14.18 g/cm³, magnetic moment 1.14 μB/cell. Number 6: density 8.05 g/cm³, magnetic moment 0.00 μB/cell. Number 7: density 6.42 g/cm³, magnetic moment 1.02 μB/cell. Number 8: density 6.31 g/cm³, magnetic moment 0.91 μB/cell. Number 9: density 4.27 g/cm³, magnetic moment 0.55 μB/cell. Number 10: density 7.53 g/cm³, magnetic moment 0.00 μB/cell. Number 11: density 9.91 g/cm³, magnetic moment 0.00 μB/cell. Number 12: density 8.89 g/cm³, magnetic moment 0.00 μB/cell. Number 13: density 7.22 g/cm³, magnetic moment 0.45 μB/cell. Number 14: density 7.14 g/cm³, magnetic moment 2.96 μB/cell. Number 15: density 7.27 g/cm³, magnetic moment 0.00 μB/cell. Number 16: density 5.64 g/cm³, magnetic moment 0.73 μB/cell. Number 17: density 8.59 g/cm³, magnetic moment 0.02 μB/cell. Number 18: density 6.12 g/cm³, magnetic moment 0.71 μB/cell. Number 19: density 6.77 g/cm³, magnetic moment 0.98 μB/cell. Number 20: density 6.74 g/cm³, magnetic moment 1.21 μB/cell.